First-principles (PBE) data for an optimized crystal structure of Th2Be4AlIr3, as listed in the Alexandria database.

Results
Uncorrected energy (eV for the cell shown): -66.00
Density of states at the Fermi level (states/eV per atom): 0.61
SG: No. 115

POSCAR file:
```
Th2Be4AlIr3
1.0
-2.5548 -1.3785 -2.6469
-0.6635 -3.1347 2.2729
-7.6315 5.0495 4.7364
Th Be Al Ir
2 4 1 3
direct
0.5000 0.0000 0.2439
0.0000 0.5000 0.7561
0.5000 0.5000 0.0000
0.0000 0.0000 0.0000
0.5000 0.0000 0.6326
0.0000 0.5000 0.3674
0.5000 0.5000 0.5000
0.0000 0.0000 0.5000
0.5000 0.0000 0.8722
0.0000 0.5000 0.1278
```

=====

First-principles (PBE) data for an optimized crystal structure of Ti2Be2AlIr5, as listed in the Alexandria database.

Results
Uncorrected energy (eV for the cell shown): -158.73
Density of states at the Fermi level (states/eV per atom): 0.26
SG: No. 127

POSCAR file:
```
Ti2Be2AlIr5
1.0
3.0189 0.0000 0.0000
0.0000 9.3764 0.0000
0.0000 0.0000 9.3764
Ti Be Al Ir
4 4 2 10
direct
0.0000 0.6745 0.1745
0.0000 0.3255 0.8255
0.0000 0.1745 0.3255
0.0000 0.8255 0.6745
0.0000 0.1253 0.6253
0.0000 0.8747 0.3747
0.0000 0.6253 0.8747
0.0000 0.3747 0.1253
0.0000 0.0000 0.0000
0.0000 0.5000 0.5000
0.5000 0.2077 0.0705
0.5000 0.7923 0.9295
0.5000 0.0705 0.7923
0.5000 0.7077 0.4295
0.5000 0.9295 0.2077
0.5000 0.2923 0.5705
0.5000 0.5705 0.7077
0.5000 0.4295 0.2923
0.5000 0.5000 0.0000
0.5000 0.0000 0.5000
```

=====

First-principles (PBE) data for an optimized crystal structure of TiBeAlIr, as listed in the Alexandria database.

Results
Uncorrected energy (eV for the cell shown): -26.88
SG: No. 216

POSCAR file:
```
TiBeAlIr
1.0
4.2416 0.0000 0.0000
2.1208 3.6734 0.0000
2.1208 1.2245 3.4633
Be Ir Al Ti
1 1 1 1
direct
0.7500 0.7500 0.7500
0.2500 0.2500 0.2500
0.0000 0.0000 0.0000
0.5000 0.5000 0.5000
```

=====

First-principles (PBE) data for an optimized crystal structure of Y2BeAlIr2, as listed in the Alexandria database.

Results
Uncorrected energy (eV for the cell shown): -85.31
Density of states at the Fermi level (states/eV per atom): 0.62
SG: No. 72

POSCAR file:
```
Y2BeAlIr2
1.0
5.6750 0.0000 0.0000
0.0000 5.7305 0.0000
-2.8375 -2.8653 6.8801
Y Be Al Ir
4 2 2 4
direct
0.4104 0.1711 0.3421
0.5896 0.8289 0.6579
0.0683 0.3289 0.6579
0.9317 0.6711 0.3421
0.5000 0.7500 0.0000
0.5000 0.2500 0.0000
0.0000 0.7500 0.0000
0.0000 0.2500 0.0000
0.8312 0.1049 0.2098
0.3786 0.6049 0.2098
0.6214 0.3951 0.7902
0.1688 0.8951 0.7902
```

=====

First-principles (PBE) data for an optimized crystal structure of Zr2Be2AlIr5, as listed in the Alexandria database.

Results
Uncorrected energy (eV for the cell shown): -163.04
Density of states at the Fermi level (states/eV per atom): 0.33
SG: No. 127

POSCAR file:
```
Zr2Be2AlIr5
1.0
-1.5102 -1.7573 -2.2277
-4.7758 -4.4941 6.7826
-6.8229 6.4967 -0.4994
Zr Be Al Ir
4 4 2 10
direct
0.0000 0.6759 0.1759
0.0000 0.3241 0.8241
0.0000 0.1759 0.3241
0.0000 0.8241 0.6759
0.0000 0.1221 0.6221
0.0000 0.8779 0.3779
0.0000 0.6221 0.8779
0.0000 0.3779 0.1221
0.0000 0.0000 0.0000
0.0000 0.5000 0.5000
0.5000 0.2104 0.0685
0.5000 0.7896 0.9315
0.5000 0.0685 0.7896
0.5000 0.7104 0.4315
0.5000 0.9315 0.2104
0.5000 0.2896 0.5685
0.5000 0.5685 0.7104
0.5000 0.4315 0.2896
0.5000 0.5000 0.0000
0.5000 0.0000 0.5000
```

=====

First-principles (PBE) data for an optimized crystal structure of KBeAl2, as listed in the Alexandria database.

Results
Uncorrected energy (eV for the cell shown): -9.25
Density of states at the Fermi level (states/eV per atom): 0.38
SG: No. 12

POSCAR file:
```
KBeAl2
1.0
6.1251 0.0437 0.0665
-3.1514 5.2524 0.0665
0.4273 0.7610 2.5814
Be K Al
1 1 2
direct
0.5000 0.0000 0.5000
0.0000 0.5000 0.5000
0.0000 0.0000 0.0000
0.5000 0.5000 0.0000
```